# 1
Na10B17C3 | PBE | optimized geometry

Geometry as POSCAR:
```
Na10B17C3
1.0
7.453 -2.536 0.000
7.453 2.536 0.000
-5.947 0.000 8.670
Na B C
10 17 3
Cartesian
13.417 -0.001 2.162
-4.457 -0.001 6.508
1.489 0.017 2.166
-1.485 0.002 6.499
1.498 0.008 6.503
4.474 0.000 2.171
7.462 0.008 2.167
4.486 0.000 6.499
7.471 0.017 6.504
10.445 0.002 2.172
0.021 0.933 4.342
-2.873 0.816 8.667
4.480 1.705 4.335
7.453 1.633 0.000
-0.111 0.923 8.670
2.965 0.824 4.332
-0.040 -0.820 4.336
9.071 0.923 0.000
5.995 0.824 4.338
5.944 -0.851 0.006
3.122 -0.920 4.332
8.939 0.933 4.329
11.833 0.816 0.004
3.016 -0.851 8.664
5.837 -0.920 4.338
7.453 -1.650 0.000
9.000 -0.820 4.334
3.012 -0.820 0.002
4.480 -1.736 4.335
5.948 -0.820 8.668
```

total magnetization = 0.000 Bohr magnetons per cell
ΔH_f (0 K) = 663 kJ/mol of formula units

# 2
Pr2ErAl6 | PBE | optimized geometry

Geometry as POSCAR:
```
Pr2ErAl6
1.0
-2.233 3.618 6.897
2.233 -3.618 6.897
2.233 3.618 -6.897
Pr Er Al
2 1 6
Cartesian
0.000 0.000 1.715
0.000 0.000 12.078
0.000 3.618 0.000
2.233 2.249 -2.510
2.233 1.429 0.000
2.233 2.249 2.510
0.000 1.369 4.386
0.000 2.189 6.897
0.000 1.369 9.407
```

total magnetization = 0.000 Bohr magnetons per cell
ΔH_f (0 K) = -150 kJ/mol of formula units

# 3
RbCo3C | PBE | optimized geometry

Geometry as POSCAR:
```
RbCo3C
1.0
4.027 0.000 0.000
0.000 4.027 0.000
0.000 0.000 4.027
Rb Co C
1 3 1
Cartesian
0.000 0.000 0.000
0.000 2.013 2.013
2.013 0.000 2.013
2.013 2.013 0.000
2.013 2.013 2.013
```

total magnetization = 1.782 Bohr magnetons per cell
ΔH_f (0 K) = 491 kJ/mol of formula units

# 4
Be2Tl2Te | PBE | optimized geometry

Geometry as POSCAR:
```
Be2Tl2Te
1.0
-1.540 1.540 12.315
1.540 -1.540 12.315
1.540 1.540 -12.315
Be Tl Te
2 2 1
Cartesian
1.540 0.000 6.157
0.000 1.540 6.157
0.000 0.000 3.391
0.000 0.000 21.239
0.000 0.000 12.315
```

total magnetization = 0.000 Bohr magnetons per cell
raw formation energy = 0.43 eV/atom

Here are the calculated relative energy among the computed polymorphs numbers, same order: 24; 286; 0; 0 (meV/atom).